Entry 1:
Below is crystalline KYBr2 at its relaxed geometry, with properties calculated at the PBEsol level.

As for the total energy: -16.8 eV for the cell shown. For the relative energy among the computed polymorphs, the calculation gives 0.000 eV/atom.

Cell: 3.7671 3.7671 9.0666 Å, 78.01 78.01 60.00°
Atoms (fractional coordinates):
Br  0.2563  0.2563  0.2310
Br  0.7437  0.7437  0.7690
Y  0.0000  0.0000  0.0000
K  0.5000  0.5000  0.5000

=====

Entry 2:
Below is crystalline K2YBr at its relaxed geometry, with properties calculated at the PBEsol level.

As for the total energy: -12.6 eV for the cell shown. For the relative energy among the computed polymorphs, the calculation gives 0.000 eV/atom.

Cell: 3.8498 3.8498 12.1903 Å, 90.00 90.00 118.75°
Site moments in Bohr magnetons follow the coordinates.
Atoms (fractional coordinates):
K  0.5000  0.5000  0.7282  0.01
K  0.0000  0.0000  0.0570  0.00
Y  0.0000  0.0000  0.4475  0.33
Br  0.5000  0.5000  0.2673  0.00

=====

Entry 3:
Below is crystalline K2ZnBr4 at its relaxed geometry, with properties calculated at the PBEsol level.

As for the total energy: -41.9 eV for the cell shown.

Cell: 7.2024 7.3406 9.0519 Å, 90.00 108.70 90.00°
Atoms (fractional coordinates):
K  0.7708  0.7500  0.5715
K  0.2853  0.2500  0.9501
K  0.2292  0.2500  0.4285
K  0.7147  0.7500  0.0499
Zn  0.7177  0.2500  0.7962
Zn  0.2823  0.7500  0.2038
Br  0.0818  0.7500  0.3696
Br  0.8973  0.2500  0.0696
Br  0.4960  0.9950  0.7355
Br  0.9182  0.2500  0.6304
Br  0.4960  0.5050  0.7355
Br  0.5040  0.0050  0.2645
Br  0.1027  0.7500  0.9304
Br  0.5040  0.4950  0.2645

=====

Entry 4:
Below is crystalline KZnBr at its relaxed geometry, with properties calculated at the PBEsol level.

As for the total energy: -6.3 eV for the cell shown.

Cell: 5.3698 5.3698 5.3698 Å, 60.00 60.00 60.00°
Atoms (fractional coordinates):
Zn  0.0000  0.0000  0.0000
K  0.2500  0.2500  0.2500
Br  0.5000  0.5000  0.5000

=====

Entry 5:
Below is crystalline KZnBr2 at its relaxed geometry, with properties calculated at the PBEsol level.

As for the total energy: -9.5 eV for the cell shown. For the relative energy among the computed polymorphs, the calculation gives 0.000 eV/atom.

Cell: 3.7137 5.2051 5.2051 Å, 90.00 90.00 90.00°
Atoms (fractional coordinates):
Br  0.0000  0.0000  0.5000
Br  0.0000  0.5000  0.0000
Zn  0.5000  0.0000  0.0000
K  0.5000  0.5000  0.5000

=====

Entry 6:
Below is crystalline K2ZnBr at its relaxed geometry, with properties calculated at the PBEsol level.

As for the total energy: -8.1 eV for the cell shown.

Cell: 4.3611 4.4065 9.2688 Å, 103.36 90.00 119.66°
Atoms (fractional coordinates):
Br  0.0000  0.0000  0.5000
Zn  0.5000  0.0000  0.0000
K  0.7413  0.4827  0.7258
K  0.2587  0.5173  0.2742

=====

Entry 7:
Below is crystalline KZnBr2 at its relaxed geometry, with properties calculated at the PBEsol level.

As for the total energy: -9.3 eV for the cell shown. For the relative energy among the computed polymorphs, the calculation gives 0.038 eV/atom.

Cell: 4.1921 4.1921 7.2164 Å, 106.89 106.89 90.00°
Atoms (fractional coordinates):
Zn  0.2500  0.7500  0.5000
Br  0.0000  0.0000  0.0000
Br  0.7500  0.2500  0.5000
K  0.5000  0.5000  0.0000

=====

Entry 8:
Below is crystalline KZr2Br at its relaxed geometry, with properties calculated at the PBEsol level.

As for the total energy: -20.4 eV for the cell shown. For the relative energy among the computed polymorphs, the calculation gives 0.455 eV/atom.

Cell: 3.2223 3.2223 11.4334 Å, 81.90 81.90 60.00°
Atoms (fractional coordinates):
Zr  0.2327  0.2327  0.3019
Zr  0.7673  0.7673  0.6981
Br  0.5000  0.5000  0.5000
K  0.0000  0.0000  0.0000